(1)
Entry from Alexandria via LeMat-Bulk: a relaxed structure of CdPbCl2 (GGA-PBE).

Lattice parameters (Å, degrees): 5.2938 5.2938 5.2888 112.56 112.56 103.29
Positions (direct):
Cd: 0.0000 0.0000 0.0000
Pb: 0.5000 0.5000 0.0000
Cl: 0.0000 0.5000 0.5000
Cl: 0.5000 0.0000 0.5000

uncorrected formation energy: -57 kJ/mol of atoms
ΔE to the lowest computed polymorph: 114.0 meV per atom

---

(2)
Entry from Alexandria via LeMat-Bulk: a relaxed structure of CaZrZnAg (GGA-PBE).

Lattice parameters (Å, degrees): 4.9755 4.9755 4.9755 60.00 60.00 60.00
Positions (direct):
Ca: 0.0000 0.0000 0.0000
Zr: 0.5000 0.5000 0.5000
Zn: 0.2500 0.2500 0.2500
Ag: 0.7500 0.7500 0.7500

energy of formation from the pure elements: -0.0523 eV per atom

---

(3)
Entry from Alexandria via LeMat-Bulk: a relaxed structure of CdTcSb (GGA-PBE).

Lattice parameters (Å, degrees): 4.5169 4.5169 4.5169 60.00 60.00 60.00
Positions (direct):
Cd: 0.0000 0.0000 0.0000
Tc: 0.7500 0.7500 0.7500
Sb: 0.5000 0.5000 0.5000

uncorrected formation energy: 34 kJ/mol of atoms
ΔE to the lowest computed polymorph: 164.5 meV per atom

---

(4)
Entry from Alexandria via LeMat-Bulk: a relaxed structure of PuCd2Bi (GGA-PBE).

Lattice parameters (Å, degrees): 4.0840 4.0840 6.5452 90.00 90.00 90.00
Positions (direct):
Pu: 0.0000 0.0000 0.0000
Cd: 0.5000 0.5000 0.2559
Cd: 0.5000 0.5000 0.7441
Bi: 0.0000 0.0000 0.5000

energy of formation from the pure elements: -0.0115 eV per atom

---

(5)
Entry from Alexandria via LeMat-Bulk: a relaxed structure of Pr8Tl2Ir3 (GGA-PBE).

Lattice parameters (Å, degrees): 9.2333 9.2333 7.1761 107.27 107.27 50.15
Positions (direct):
Pr: 0.0911 0.0911 0.4139
Pr: 0.1601 0.6457 0.0999
Pr: 0.3543 0.8399 0.9001
Pr: 0.3569 0.3569 0.5214
Pr: 0.6431 0.6431 0.4786
Pr: 0.6457 0.1601 0.0999
Pr: 0.8399 0.3543 0.9001
Pr: 0.9089 0.9089 0.5861
Tl: 0.2479 0.2479 0.8393
Tl: 0.7521 0.7521 0.1607
Ir: 0.0000 0.0000 0.0000
Ir: 0.3016 0.6984 0.5000
Ir: 0.6984 0.3016 0.5000

ΔE to the lowest computed polymorph: 6.6 meV per atom
energy of formation from the pure elements: -0.3564 eV per atom

---

(6)
Entry from Alexandria via LeMat-Bulk: a relaxed structure of KFe4Tc (GGA-PBE).

Lattice parameters (Å, degrees): 4.9518 4.9518 4.9518 60.00 60.00 60.00
Positions (direct):
K: 0.0000 0.0000 0.0000
Fe: 0.3762 0.3762 0.3762
Fe: 0.3762 0.3762 0.8713
Fe: 0.3762 0.8713 0.3762
Fe: 0.8713 0.3762 0.3762
Tc: 0.7500 0.7500 0.7500

energy of formation from the pure elements: 0.9479 eV per atom

---

(7)
Entry from Alexandria via LeMat-Bulk: a relaxed structure of RbSr2IO6 (GGA-PBE).

Lattice parameters (Å, degrees): 6.1206 6.1206 6.1206 62.68 62.68 62.68
Positions (direct):
Rb: 0.0000 0.0000 0.0000
Sr: 0.2732 0.2732 0.2732
Sr: 0.7268 0.7268 0.7268
I: 0.5000 0.5000 0.5000
O: 0.1795 0.4248 0.6645
O: 0.3355 0.8205 0.5752
O: 0.4248 0.6645 0.1795
O: 0.5752 0.3355 0.8205
O: 0.6645 0.1795 0.4248
O: 0.8205 0.5752 0.3355

uncorrected formation energy: -165 kJ/mol of atoms

---

(8)
Entry from Alexandria via LeMat-Bulk: a relaxed structure of Pr8Nd2Y (GGA-PBE).

Lattice parameters (Å, degrees): 9.7699 9.7699 8.2678 104.64 104.64 31.08
Positions (direct):
Pr: 0.0458 0.0458 0.2286
Pr: 0.1363 0.1363 0.6818
Pr: 0.3187 0.3187 0.5903
Pr: 0.4095 0.4095 0.0473
Pr: 0.5905 0.5905 0.9527
Pr: 0.6813 0.6813 0.4097
Pr: 0.8637 0.8637 0.3182
Pr: 0.9542 0.9542 0.7714
Nd: 0.2269 0.2269 0.1359
Nd: 0.7731 0.7731 0.8641
Y: 0.5000 0.5000 0.5000

ΔE to the lowest computed polymorph: 0.0 meV per atom
energy of formation from the pure elements: 0.0113 eV per atom

---

(9)
Entry from Alexandria via LeMat-Bulk: a relaxed structure of Sm6Zn2Ir (GGA-PBE).

Lattice parameters (Å, degrees): 6.1858 9.2542 10.0787 90.00 119.59 90.00
Positions (direct):
Sm: 0.0601 0.1860 0.4754
Sm: 0.0601 0.3140 0.9754
Sm: 0.3580 0.6695 0.4488
Sm: 0.3580 0.8305 0.9488
Sm: 0.3932 0.0282 0.2873
Sm: 0.3932 0.4718 0.7873
Sm: 0.6068 0.5282 0.2127
Sm: 0.6068 0.9718 0.7127
Sm: 0.6420 0.1695 0.0512
Sm: 0.6420 0.3305 0.5512
Sm: 0.9399 0.6860 0.0246
Sm: 0.9399 0.8140 0.5246
Zn: 0.1197 0.1000 0.7705
Zn: 0.1197 0.4000 0.2705
Zn: 0.8803 0.6000 0.7295
Zn: 0.8803 0.9000 0.2295
Ir: 0.0000 0.0000 0.0000
Ir: 0.0000 0.5000 0.5000

energy of formation from the pure elements: -0.2604 eV per atom

---

(10)
Entry from Alexandria via LeMat-Bulk: a relaxed structure of SrCaLa (GGA-PBE).

Lattice parameters (Å, degrees): 6.8498 6.8498 6.8498 147.65 129.48 61.28
Positions (direct):
Sr: 0.0000 0.0000 0.0000
Ca: 0.6739 0.6739 0.0000
La: 0.3334 0.3334 0.0000

ΔE to the lowest computed polymorph: 113.1 meV per atom
energy of formation from the pure elements: 0.1459 eV per atom

---

(11)
Entry from Alexandria via LeMat-Bulk: a relaxed structure of Mg4GaHg2 (GGA-PBE).

Lattice parameters (Å, degrees): 7.8684 7.8684 7.8684 142.01 142.01 54.82
Positions (direct):
Mg: 0.0000 0.5000 0.5000
Mg: 0.1875 0.1875 0.0000
Mg: 0.5000 0.0000 0.5000
Mg: 0.8125 0.8125 0.0000
Ga: 0.0000 0.0000 0.0000
Hg: 0.3820 0.3820 0.0000
Hg: 0.6180 0.6180 0.0000

ΔE to the lowest computed polymorph: 213.2 meV per atom
energy of formation from the pure elements: 0.0498 eV per atom

---

(12)
Entry from Alexandria via LeMat-Bulk: a relaxed structure of Al2IrSe (GGA-PBE).

Lattice parameters (Å, degrees): 2.9438 2.9438 7.6646 90.00 90.00 90.00
Positions (direct):
Al: 0.0000 0.0000 0.0000
Al: 0.5000 0.5000 0.2528
Ir: 0.0000 0.0000 0.4518
Se: 0.5000 0.5000 0.6976

uncorrected formation energy: -4 kJ/mol of atoms

---

(13)
Entry from Alexandria via LeMat-Bulk: a relaxed structure of Nd4TlCo (GGA-PBE).

Lattice parameters (Å, degrees): 9.1584 9.1584 6.1390 109.50 109.50 46.33
Positions (direct):
Nd: 0.1348 0.6329 0.3840
Nd: 0.2262 0.7738 0.0000
Nd: 0.3132 0.3132 0.8115
Nd: 0.3671 0.8652 0.6160
Nd: 0.6329 0.1348 0.3840
Nd: 0.6868 0.6868 0.1885
Nd: 0.7738 0.2262 0.0000
Nd: 0.8652 0.3671 0.6160
Tl: 0.1968 0.1968 0.1967
Tl: 0.8032 0.8032 0.8033
Co: 0.4961 0.4961 0.7069
Co: 0.5039 0.5039 0.2931

ΔE to the lowest computed polymorph: 0.0 meV per atom
energy of formation from the pure elements: -0.1622 eV per atom

---

(14)
Entry from Alexandria via LeMat-Bulk: a relaxed structure of Sc2GaTe (GGA-PBE).

Lattice parameters (Å, degrees): 4.9870 4.9870 4.9870 60.00 60.00 60.00
Positions (direct):
Sc: 0.2500 0.2500 0.2500
Sc: 0.7500 0.7500 0.7500
Ga: 0.0000 0.0000 0.0000
Te: 0.5000 0.5000 0.5000

uncorrected formation energy: -51 kJ/mol of atoms
ΔE to the lowest computed polymorph: 375.6 meV per atom

---

(15)
Entry from Alexandria via LeMat-Bulk: a relaxed structure of NdDy2YTl2 (GGA-PBE).

Lattice parameters (Å, degrees): 5.1625 10.0761 6.8230 90.00 90.00 90.00
Positions (direct):
Nd: 0.0000 0.0414 0.0000
Nd: 0.0000 0.9586 0.5000
Dy: 0.0000 0.3180 0.3732
Dy: 0.0000 0.6820 0.8732
Dy: 0.5000 0.4565 0.0900
Dy: 0.5000 0.5435 0.5900
Y: 0.5000 0.1909 0.7229
Y: 0.5000 0.8091 0.2229
Tl: 0.0000 0.3667 0.8373
Tl: 0.0000 0.6333 0.3373
Tl: 0.5000 0.1387 0.2606
Tl: 0.5000 0.8613 0.7606

energy of formation from the pure elements: -0.2787 eV per atom

---

(16)
Entry from Alexandria via LeMat-Bulk: a relaxed structure of PbBr2 (GGA-PBE).

Lattice parameters (Å, degrees): 5.3678 5.3678 3.6202 90.00 90.00 120.00
Positions (direct):
Pb: 0.0000 0.0000 0.0000
Br: 0.3333 0.6667 0.5000
Br: 0.6667 0.3333 0.5000

uncorrected formation energy: -23 kJ/mol of atoms

---

(17)
Entry from Alexandria via LeMat-Bulk: a relaxed structure of Ca2CuPd (GGA-PBE).

Lattice parameters (Å, degrees): 6.3024 6.3024 6.3024 149.66 127.03 62.27
Positions (direct):
Ca: 0.2431 0.2431 0.0000
Ca: 0.7569 0.7569 0.0000
Cu: 0.5000 0.5000 0.0000
Pd: 0.0000 0.0000 0.0000

energy of formation from the pure elements: 0.5180 eV per atom

---

(18)
Entry from Alexandria via LeMat-Bulk: a relaxed structure of Rb3Ce3PmS8 (GGA-PBE).

Lattice parameters (Å, degrees): 9.1378 9.1378 9.1378 54.50 54.50 54.50
Positions (direct):
Rb: 0.0000 0.5000 0.5000
Rb: 0.5000 0.0000 0.5000
Rb: 0.5000 0.5000 0.0000
Ce: 0.0000 0.0000 0.5000
Ce: 0.0000 0.5000 0.0000
Ce: 0.5000 0.0000 0.0000
Pm: 0.5000 0.5000 0.5000
S: 0.2278 0.7304 0.7304
S: 0.2311 0.2311 0.2311
S: 0.2696 0.2696 0.7722
S: 0.2696 0.7722 0.2696
S: 0.7304 0.2278 0.7304
S: 0.7304 0.7304 0.2278
S: 0.7689 0.7689 0.7689
S: 0.7722 0.2696 0.2696

uncorrected formation energy: -175 kJ/mol of atoms

---

(19)
Entry from Alexandria via LeMat-Bulk: a relaxed structure of Nb5GaSi (GGA-PBE).

Lattice parameters (Å, degrees): 6.6844 6.6844 6.2568 101.11 101.11 105.93
Positions (direct):
Nb: 0.1106 0.3467 0.8889
Nb: 0.1852 0.8148 0.7500
Nb: 0.1865 0.5287 0.3587
Nb: 0.3467 0.1106 0.3889
Nb: 0.4713 0.8135 0.1413
Nb: 0.5287 0.1865 0.8587
Nb: 0.6533 0.8894 0.6111
Nb: 0.8135 0.4713 0.6413
Nb: 0.8148 0.1852 0.2500
Nb: 0.8894 0.6533 0.1111
Ga: 0.4628 0.5372 0.7500
Ga: 0.5372 0.4628 0.2500
Si: 0.0000 0.0000 0.0000
Si: 0.0000 0.0000 0.5000

uncorrected formation energy: 8 kJ/mol of atoms

---

(20)
Entry from Alexandria via LeMat-Bulk: a relaxed structure of NiP2Se (GGA-PBE).

Lattice parameters (Å, degrees): 3.2231 3.2231 5.8966 90.00 90.00 90.00
Positions (direct):
Ni: 0.0000 0.0000 0.0000
P: 0.5000 0.5000 0.1853
P: 0.5000 0.5000 0.8147
Se: 0.0000 0.0000 0.5000

uncorrected formation energy: 30 kJ/mol of atoms